Density functional theory data (PBE+U) for crystalline Rb3VZn2F9 at its relaxed geometry.

Calculated values
Total DFT energy (no corrections), eV per atom: -4.59

Geometry as POSCAR:
```
Rb3VZn2F9
1.0
-5.502 2.175 0.702
0.774 -5.698 -1.560
0.144 -1.910 7.048
F V Rb Zn
9 1 3 2
direct
0.169 0.338 0.330
0.000 0.500 0.000
0.662 0.831 0.330
0.500 0.000 0.000
0.831 0.169 0.670
0.831 0.662 0.670
0.500 0.500 0.000
0.169 0.831 0.330
0.338 0.169 0.670
0.000 0.000 0.500
0.000 0.000 0.000
0.333 0.667 0.667
0.667 0.333 0.333
0.667 0.333 0.836
0.333 0.667 0.164
```